Compound: Na2U2I2O5
Source: the Alexandria database
Functional: PBE
Structure: optimized geometry

Cell lengths 4.2448, 4.2448, 14.4943 Å; angles 98.42, 98.42, 90.00 degrees
Closest atoms and distances in Å follow each position.
Positions (direct):
O 0.5837 0.0837 0.1674  2 U 2.14
O 0.0837 0.5837 0.1674  2 U 2.14
O 0.9163 0.4163 0.8326  2 U 2.14
O 0.0000 0.0000 0.0000  2 U 2.09
O 0.4163 0.9163 0.8326  2 U 2.14
I 0.1860 0.1860 0.3720  1 U 3.19, 4 Na 3.25
I 0.8140 0.8140 0.6280  1 U 3.19, 4 Na 3.25
Na 0.6417 0.6417 0.2835  4 O 2.69
Na 0.3583 0.3583 0.7165  4 O 2.69
U 0.0737 0.0737 0.1474  5 O 2.09-2.14
U 0.9263 0.9263 0.8526  5 O 2.09-2.14

The value obtained for the uncorrected formation energy is -2441 meV/atom. As for the crystal system: tetragonal. For the total energy, the calculation gives -0.267 Ha/atom.